# 1
A plane-wave DFT calculation with PBEsol was carried out for a relaxed structure of CaTi4O6.

```
data_CaTi4O6
_chemical_formula_sum 'Ca4 Ti16 O24'
_symmetry_space_group_name_H-M 'C m c m'
_symmetry_Int_Tables_number 63
_symmetry_space_group_name_Hall '-C 2c 2'
_cell_length_a 2.993
_cell_length_b 9.874
_cell_length_c 14.948
_cell_angle_alpha 90.00
_cell_angle_beta 90.00
_cell_angle_gamma 90.00
loop_
_atom_site_label
_atom_site_type_symbol
_atom_site_fract_x
_atom_site_fract_y
_atom_site_fract_z
Ca1 Ca 0.000 0.155 0.250
Ti1 Ti 0.000 0.101 0.627
Ti2 Ti 0.000 0.352 0.539
O1 O 0.000 0.000 0.000
O2 O 0.000 0.165 0.750
O3 O 0.000 0.262 0.095
O4 O 0.000 0.463 0.655
```

Summary:
**Energy relative to the elements, uncorrected**: -2.8468 eV per atom
**VASP energy**: -392.9 eV for the cell shown
**Fermi-level density of states**: 19.91 states/eV/cell
**Calculated density**: 4.9 Mg/m³



# 2
A plane-wave DFT calculation with PBEsol was carried out for a relaxed structure of Ca2Ti9O13.

```
data_Ca2Ti9O13
_chemical_formula_sum 'Ca4 Ti18 O26'
_symmetry_space_group_name_H-M 'C 1 2/m 1'
_symmetry_Int_Tables_number 12
_symmetry_space_group_name_Hall '-C 2y'
_cell_length_a 9.843
_cell_length_b 3.009
_cell_length_c 16.507
_cell_angle_alpha 90.00
_cell_angle_beta 100.04
_cell_angle_gamma 90.00
loop_
_atom_site_label
_atom_site_type_symbol
_atom_site_fract_x
_atom_site_fract_y
_atom_site_fract_z
Ca1 Ca 0.222 0.000 0.229
Ti1 Ti 0.000 0.500 0.500
Ti2 Ti 0.001 0.000 0.657
Ti3 Ti 0.067 0.000 0.884
Ti4 Ti 0.158 0.500 0.036
Ti5 Ti 0.223 0.000 0.579
O1 O 0.000 0.000 0.000
O2 O 0.078 0.500 0.142
O3 O 0.099 0.000 0.770
O4 O 0.125 0.500 0.626
O5 O 0.132 0.500 0.318
O6 O 0.139 0.000 0.456
O7 O 0.213 0.500 0.913
```

Summary:
**Energy relative to the elements, uncorrected**: -2.8069 eV per atom
**VASP energy**: -429.5 eV for the cell shown
**Fermi-level density of states**: 18.44 states/eV/cell
**Calculated density**: 5.0 Mg/m³